(1)
Here is crystalline Si2RuPt at its relaxed geometry from Alexandria. Energies are from GGA-PBE.

Cell: 6.150 6.150 6.150 Å, 90.00 90.00 90.00°
Space group F-43m (No. 216)
Asymmetric unit:
Si: 0.000 0.000 0.000 x4
Si: 0.250 0.250 0.250 x4
Ru: 0.000 0.000 0.500 x4
Pt: 0.250 0.250 0.750 x4

Computed properties:
total energy	-0.471	Ry/atom

(2)
Here is crystalline Tl2ZnGa6 at its relaxed geometry from Alexandria. Energies are from GGA-PBE.

Cell: 10.411 6.000 6.497 Å, 90.00 106.17 90.00°
Space group C2/m (No. 12)
Asymmetric unit:
Tl: 0.165 0.000 0.366 x4
Zn: 0.000 0.500 0.500 x2
Ga: 0.120 0.500 0.179 x4
Ga: 0.125 0.227 0.841 x8

Computed properties:
formation enthalpy at 0 K	0.047	eV per atom

(3)
Here is crystalline TiBe5Pt at its relaxed geometry from Alexandria. Energies are from GGA-PBE.

Cell: 7.266 4.253 9.126 Å, 90.00 90.00 90.00°
Space group Pnma (No. 62)
Asymmetric unit:
Ti: 0.239 0.250 0.067 x4
Be: 0.035 0.750 0.105 x4
Be: 0.057 0.005 0.311 x8
Be: 0.079 0.250 0.515 x4
Be: 0.200 0.250 0.744 x4
Pt: 0.147 0.750 0.865 x4

Computed properties:
formation enthalpy at 0 K	-0.490	eV per atom

(4)
Here is crystalline Tb2Be3CuNi12 at its relaxed geometry from Alexandria. Energies are from GGA-PBE.

Cell: 8.3602 8.3602 11.4373 Å, 90.00 90.00 120.00°
Space group R-3m (No. 166, hexagonal axes)
Asymmetric unit:
Tb: 0.0000 0.0000 0.2042 x6
Be: 0.0000 0.5000 0.0000 x9
Cu: 0.0000 0.0000 0.5000 x3
Ni: 0.0114 0.5057 0.1910 x18
Ni: 0.0235 0.5117 0.6084 x18

Computed properties:
formation enthalpy at 0 K	0.027	eV per atom

(5)
Here is crystalline Nd4Ho8Pu at its relaxed geometry from Alexandria. Energies are from GGA-PBE.

Cell: 10.9976 10.9976 13.4040 Å, 90.00 90.00 120.00°
Space group R-3m (No. 166, hexagonal axes)
Asymmetric unit:
Nd: 0.0000 0.0000 0.0000 x3
Nd: 0.0000 0.5000 0.0000 x9
Ho: 0.0000 0.0000 0.2438 x6
Ho: 0.0078 0.5039 0.7470 x18
Pu: 0.0000 0.0000 0.5000 x3

Computed properties:
formation enthalpy at 0 K	0.540	eV per atom

(6)
Here is crystalline Y2TeAu at its relaxed geometry from Alexandria. Energies are from GGA-PBE.

Cell: 4.304 4.304 11.223 Å, 90.00 90.00 90.00°
Space group I-4m2 (No. 119)
Asymmetric unit:
Y: 0.000 0.000 0.000 x2
Y: 0.000 0.500 0.250 x2
Te: 0.000 0.000 0.500 x2
Au: 0.000 0.500 0.750 x2

Computed properties:
total energy	-0.415	Ry/atom

(7)
Here is crystalline DyPuSi2 at its relaxed geometry from Alexandria. Energies are from GGA-PBE.

Cell: 4.8389 4.8389 12.6179 Å, 90.00 90.00 120.00°
Space group R-3m (No. 166, hexagonal axes)
Asymmetric unit:
Dy: 0.0000 0.0000 0.0000 x3
Pu: 0.0000 0.0000 0.5000 x3
Si: 0.0000 0.0000 0.2483 x6

Computed properties:
total energy	-0.573	Ry/atom

(8)
Here is crystalline PrInGe2Pd5 at its relaxed geometry from Alexandria. Energies are from GGA-PBE.

Cell: 4.686 4.686 7.778 Å, 90.00 90.00 90.00°
Space group P4/mmm (No. 123)
Asymmetric unit:
Pr: 0.000 0.000 0.000 x1
In: 0.000 0.000 0.500 x1
Ge: 0.500 0.500 0.343 x2
Pd: 0.000 0.500 0.242 x4
Pd: 0.500 0.500 0.000 x1

Computed properties:
formation enthalpy at 0 K	-0.511	eV per atom